No. 1
! Sc2CoPtN (PBE-GGA, optimized geometry); values from VASP
! - Total energy: -7.915 eV/atom
! - Spin magnetization: 0.168 μB/atom
! - Uncorrected formation energy: -1.09 eV/atom
&SYSTEM
  ibrav = 0, nat = 5, ntyp = 4
/
ATOMIC_SPECIES
N 14.01 N.upf
Pt 195.08 Pt.upf
Co 58.93 Co.upf
Sc 44.96 Sc.upf
ATOMIC_POSITIONS angstrom
N 0.000 0.000 0.000
Pt 2.618 -2.498 -0.422
Co 1.561 0.156 0.921
Sc 1.143 -0.483 -1.855
Sc -0.086 -2.171 0.512
CELL_PARAMETERS angstrom
-0.171 -4.341 1.024
2.285 -0.966 -3.711
3.122 0.311 1.842

=====

No. 2
! Ta2CoPtN (PBE-GGA, optimized geometry); values from VASP
! - Total energy: -9.643 eV/atom
! - Spin magnetization: 0.001 μB/atom
! - Uncorrected formation energy: -0.61 eV/atom
&SYSTEM
  ibrav = 0, nat = 5, ntyp = 4
/
ATOMIC_SPECIES
Co 58.93 Co.upf
Ta 180.95 Ta.upf
Pt 195.08 Pt.upf
N 14.01 N.upf
ATOMIC_POSITIONS angstrom
Co 0.000 0.000 1.912
Ta 0.000 2.108 0.000
Ta 2.108 0.000 0.000
Pt 2.108 2.108 1.912
N 0.000 0.000 0.000
CELL_PARAMETERS angstrom
4.217 0.000 0.000
0.000 4.217 0.000
0.000 0.000 3.823

=====

No. 3
! CoTe2PtN (PBE-GGA, optimized geometry); values from VASP
! - Total energy: -3.869 eV/atom
! - Spin magnetization: 0.002 μB/atom
! - Uncorrected formation energy: 1.68 eV/atom
&SYSTEM
  ibrav = 0, nat = 5, ntyp = 4
/
ATOMIC_SPECIES
Co 58.93 Co.upf
Pt 195.08 Pt.upf
N 14.01 N.upf
Te 127.60 Te.upf
ATOMIC_POSITIONS angstrom
Co 0.000 0.000 0.000
Pt 0.385 -2.076 -0.947
N -2.720 -3.092 0.019
Te -2.194 0.047 -0.995
Te -0.911 -1.063 1.960
CELL_PARAMETERS angstrom
-4.387 0.094 -1.989
0.770 -4.152 -1.894
-1.823 -2.126 3.921

=====

No. 4
! CoTe2PtN (PBE-GGA, optimized geometry); values from VASP
! - Total energy: -5.245 eV/atom
! - Spin magnetization: 0.000 μB/atom
! - Uncorrected formation energy: 0.31 eV/atom
&SYSTEM
  ibrav = 0, nat = 5, ntyp = 4
/
ATOMIC_SPECIES
Co 58.93 Co.upf
Te 127.60 Te.upf
Pt 195.08 Pt.upf
N 14.01 N.upf
ATOMIC_POSITIONS angstrom
Co 0.000 0.000 0.000
Te 0.000 2.601 0.000
Pt 2.601 2.601 1.670
N 0.000 0.000 1.670
Te 2.601 0.000 0.000
CELL_PARAMETERS angstrom
5.202 0.000 0.000
0.000 5.202 0.000
0.000 0.000 3.340

=====

No. 5
! CoTePtN2 (PBE-GGA, optimized geometry); values from VASP
! - Total energy: -5.294 eV/atom
! - Spin magnetization: 0.450 μB/atom
! - Uncorrected formation energy: 1.29 eV/atom
&SYSTEM
  ibrav = 0, nat = 5, ntyp = 4
/
ATOMIC_SPECIES
Co 58.93 Co.upf
N 14.01 N.upf
Pt 195.08 Pt.upf
Te 127.60 Te.upf
ATOMIC_POSITIONS angstrom
Co 1.867 1.867 4.166
N 1.867 0.000 0.000
N 0.000 1.867 0.000
Pt 0.000 0.000 0.000
Te 0.000 0.000 4.166
CELL_PARAMETERS angstrom
3.734 0.000 0.000
0.000 3.734 0.000
0.000 0.000 8.332

=====

No. 6
! CoTePtN2 (PBE-GGA, optimized geometry); values from VASP
! - Total energy: -5.516 eV/atom
! - Spin magnetization: 0.081 μB/atom
! - Uncorrected formation energy: 1.07 eV/atom
&SYSTEM
  ibrav = 0, nat = 5, ntyp = 4
/
ATOMIC_SPECIES
Co 58.93 Co.upf
Pt 195.08 Pt.upf
N 14.01 N.upf
Te 127.60 Te.upf
ATOMIC_POSITIONS angstrom
Co 0.000 0.000 0.000
Pt -0.394 -2.416 3.067
N 0.003 -1.796 -0.328
Te 1.256 -0.478 2.632
N -1.653 -0.142 0.763
CELL_PARAMETERS angstrom
-3.306 -0.284 1.526
0.006 -3.593 -0.655
2.512 -0.956 5.264

=====

No. 7
! CoTe2PtN (PBE-GGA, optimized geometry); values from VASP
! - Total energy: -4.691 eV/atom
! - Spin magnetization: 0.412 μB/atom
! - Uncorrected formation energy: 0.86 eV/atom
&SYSTEM
  ibrav = 0, nat = 5, ntyp = 4
/
ATOMIC_SPECIES
N 14.01 N.upf
Te 127.60 Te.upf
Pt 195.08 Pt.upf
Co 58.93 Co.upf
ATOMIC_POSITIONS angstrom
N 0.000 0.000 1.825
Te 0.000 2.774 0.000
Pt 0.000 0.000 0.000
Co 2.774 2.774 1.825
Te 2.774 0.000 0.000
CELL_PARAMETERS angstrom
5.548 0.000 0.000
0.000 5.548 0.000
0.000 0.000 3.651

=====

No. 8
! TiCo2PtN (PBE-GGA, optimized geometry); values from VASP
! - Total energy: -7.833 eV/atom
! - Spin magnetization: 0.488 μB/atom
! - Uncorrected formation energy: -0.54 eV/atom
&SYSTEM
  ibrav = 0, nat = 5, ntyp = 4
/
ATOMIC_SPECIES
Co 58.93 Co.upf
Pt 195.08 Pt.upf
N 14.01 N.upf
Ti 47.87 Ti.upf
ATOMIC_POSITIONS angstrom
Co 0.000 1.909 0.000
Co 1.909 0.000 0.000
Pt 1.909 1.909 2.018
N 0.000 0.000 0.000
Ti 0.000 0.000 2.018
CELL_PARAMETERS angstrom
3.819 0.000 0.000
0.000 3.819 0.000
0.000 0.000 4.036

=====

No. 9
! VCoPt2N (PBE-GGA, optimized geometry); values from VASP
! - Total energy: -5.341 eV/atom
! - Spin magnetization: 0.535 μB/atom
! - Uncorrected formation energy: 1.99 eV/atom
&SYSTEM
  ibrav = 0, nat = 5, ntyp = 4
/
ATOMIC_SPECIES
N 14.01 N.upf
Pt 195.08 Pt.upf
V 50.94 V.upf
Co 58.93 Co.upf
ATOMIC_POSITIONS angstrom
N 1.065 -2.405 2.887
Pt 1.198 0.574 1.906
V 0.000 0.000 0.000
Pt -1.410 -1.325 1.286
Co 1.277 -1.654 -0.304
CELL_PARAMETERS angstrom
-2.820 -2.650 2.571
2.554 -3.308 -0.608
2.396 1.149 3.812

=====

No. 10
! VCo2PtN (PBE-GGA, optimized geometry); values from VASP
! - Total energy: -7.854 eV/atom
! - Spin magnetization: 0.385 μB/atom
! - Uncorrected formation energy: -0.31 eV/atom
&SYSTEM
  ibrav = 0, nat = 5, ntyp = 4
/
ATOMIC_SPECIES
Co 58.93 Co.upf
N 14.01 N.upf
Pt 195.08 Pt.upf
V 50.94 V.upf
ATOMIC_POSITIONS angstrom
Co 0.000 1.908 0.000
N 0.000 0.000 0.000
Co 1.908 0.000 0.000
Pt 1.908 1.908 1.948
V 0.000 0.000 1.948
CELL_PARAMETERS angstrom
3.816 0.000 0.000
0.000 3.816 0.000
0.000 0.000 3.897

=====

No. 11
! Zr2CoPtN (PBE-GGA, optimized geometry); values from VASP
! - Total energy: -8.657 eV/atom
! - Spin magnetization: 0.211 μB/atom
! - Uncorrected formation energy: -0.94 eV/atom
&SYSTEM
  ibrav = 0, nat = 5, ntyp = 4
/
ATOMIC_SPECIES
Zr 91.22 Zr.upf
Pt 195.08 Pt.upf
Co 58.93 Co.upf
N 14.01 N.upf
ATOMIC_POSITIONS angstrom
Zr 2.248 0.000 0.000
Pt 2.248 1.874 2.248
Co 0.000 1.874 0.000
Zr 0.000 0.000 2.248
N 0.000 0.000 0.000
CELL_PARAMETERS angstrom
4.496 0.000 0.000
0.000 3.748 0.000
0.000 0.000 4.496

=====

No. 12
! Pu3Co5N12 (PBE-GGA, optimized geometry); values from VASP
! - Total energy: -8.996 eV/atom
! - Spin magnetization: 0.568 μB/atom
! - Uncorrected formation energy: -0.07 eV/atom
&SYSTEM
  ibrav = 0, nat = 80, ntyp = 3
/
ATOMIC_SPECIES
N 14.01 N.upf
Pu 244.00 Pu.upf
Co 58.93 Co.upf
ATOMIC_POSITIONS angstrom
N 0.486 6.203 5.750
N -2.586 8.375 1.048
Pu -0.864 4.276 5.290
N 5.302 8.689 0.218
N 4.314 7.538 2.497
N 2.230 6.160 0.830
N -2.969 4.322 4.450
N 0.119 3.174 3.402
Co 0.864 -2.443 6.348
Co -3.456 2.443 4.232
Pu 6.047 3.054 1.058
Pu -2.592 -1.833 7.406
N -0.870 5.723 3.545
N 4.697 5.452 4.450
N 3.958 1.273 7.634
Co -0.864 2.443 2.116
N -0.486 0.751 1.735
Co 3.456 4.887 0.000
Pu 0.864 -0.611 3.174
N -3.958 -0.083 6.946
Pu -2.592 1.833 7.406
Co 4.319 2.443 6.348
N 2.598 4.051 3.545
N -1.847 2.090 5.280
Pu 6.047 6.719 1.058
N -0.858 3.488 7.416
N -1.225 0.083 6.946
Co 3.456 -2.443 4.232
N 4.314 1.399 1.048
Co -2.592 5.498 3.174
N 1.847 -1.713 5.062
Co -1.728 4.887 0.000
N 0.858 0.836 4.920
Co -0.864 7.941 1.058
N 7.781 2.235 2.497
N 3.958 -1.356 7.777
Co -0.864 0.611 5.290
N 1.242 3.571 5.750
N -1.847 -3.802 8.247
Co 2.592 7.330 2.116
N 5.670 -0.751 1.735
Co 0.000 0.000 0.000
Co 2.592 1.833 1.058
N -3.574 6.977 3.184
N -0.502 3.614 0.830
N 6.041 -3.488 7.416
Pu -4.319 4.887 6.348
Co -1.728 -2.443 4.232
N 2.969 -1.316 2.714
N 6.425 0.565 4.014
Pu 0.864 4.887 2.116
N 4.325 -0.836 4.920
N 1.225 1.356 7.777
Pu 2.592 0.000 6.348
N 2.230 3.531 0.687
N 3.337 1.713 5.062
N -0.502 6.243 0.687
Pu 7.775 0.000 2.116
N 7.414 4.969 1.518
Pu 4.319 0.611 3.174
N -1.242 -0.565 4.014
N 4.681 4.804 1.518
Co 6.047 -0.611 5.290
N -4.325 2.652 5.968
N 1.225 -1.273 7.634
Pu 2.592 5.498 5.290
Co 1.728 2.443 4.232
N 2.214 1.316 2.714
Co 0.864 3.054 7.406
Co 5.183 0.000 0.000
Co 4.319 4.276 3.174
N 3.942 4.136 6.729
Co 4.319 -3.054 7.406
N -2.214 5.637 6.729
N 7.030 -2.090 5.280
N -0.858 -2.652 5.968
N 6.792 1.085 0.218
N 5.302 2.797 3.184
N 1.609 6.599 3.402
N -3.337 3.802 8.247
CELL_PARAMETERS angstrom
10.367 0.000 0.000
-3.456 9.774 0.000
-3.456 -4.887 8.464

=====

Repeat the sixth record exactly.
! CoTePtN2 (PBE-GGA, optimized geometry); values from VASP
! - Total energy: -5.516 eV/atom
! - Spin magnetization: 0.081 μB/atom
! - Uncorrected formation energy: 1.07 eV/atom
&SYSTEM
  ibrav = 0, nat = 5, ntyp = 4
/
ATOMIC_SPECIES
Co 58.93 Co.upf
Pt 195.08 Pt.upf
N 14.01 N.upf
Te 127.60 Te.upf
ATOMIC_POSITIONS angstrom
Co 0.000 0.000 0.000
Pt -0.394 -2.416 3.067
N 0.003 -1.796 -0.328
Te 1.256 -0.478 2.632
N -1.653 -0.142 0.763
CELL_PARAMETERS angstrom
-3.306 -0.284 1.526
0.006 -3.593 -0.655
2.512 -0.956 5.264